Model w:
{"formula": "SrPrAsO", "functional": "PBE", "state": "relaxed", "lattice": [[4.3611, 0.0000, 0.0000], [0.0000, 7.0078, 0.0000], [0.0000, 0.0000, 7.0500]], "species": ["Pr", "Pr", "O", "O", "Sr", "Sr", "As", "As"], "fractional_positions": [[0.5000, 0.4649, 0.1044], [0.5000, 0.5351, 0.6044], [0.5000, 0.7226, 0.8770], [0.5000, 0.2774, 0.3770], [0.0000, 0.1350, 0.4260], [0.0000, 0.8650, 0.9260], [0.0000, 0.6963, 0.3466], [0.0000, 0.3037, 0.8466]]}


Model x:
{"formula": "SrPrAsO", "functional": "PBE", "state": "relaxed", "lattice": [[-4.2824, -1.2164, -0.6834], [1.3951, -3.7647, -2.0411], [-0.0424, -4.5622, 8.3860]], "species": ["As", "As", "Pr", "Pr", "O", "O", "Sr", "Sr"], "fractional_positions": [[0.7500, 0.7500, 0.2888], [0.2500, 0.2500, 0.7112], [0.2500, 0.2500, 0.0980], [0.7500, 0.7500, 0.9020], [0.7500, 0.2500, 0.0000], [0.2500, 0.7500, 0.0000], [0.2500, 0.7500, 0.5000], [0.7500, 0.2500, 0.5000]]}


Stability, lowest: model x


Model w:
{"formula": "SrPrAsO", "functional": "PBE", "state": "relaxed", "lattice": [[4.3175, 0.0000, 0.0000], [0.0000, 6.7925, 0.0000], [0.0000, 0.0000, 7.2198]], "species": ["O", "O", "As", "As", "Pr", "Pr", "Sr", "Sr"], "fractional_positions": [[0.5000, 0.2504, 0.3801], [0.5000, 0.7496, 0.8801], [0.0000, 0.7204, 0.3312], [0.0000, 0.2796, 0.8312], [0.0000, 0.8631, 0.9414], [0.0000, 0.1369, 0.4414], [0.5000, 0.4533, 0.1012], [0.5000, 0.5467, 0.6012]]}


Model x:
{"formula": "SrPrAsO", "functional": "PBE", "state": "relaxed", "lattice": [[-0.0013, 4.1482, 2.6425], [-4.6807, 0.8105, -1.2746], [-2.9668, -4.9400, 7.7535]], "species": ["Sr", "Sr", "Pr", "Pr", "As", "As", "O", "O"], "fractional_positions": [[0.7500, 0.7500, 0.9474], [0.2500, 0.2500, 0.0526], [0.7500, 0.2500, 0.5000], [0.2500, 0.7500, 0.5000], [0.7500, 0.7500, 0.3331], [0.2500, 0.2500, 0.6669], [0.7500, 0.2500, 0.0000], [0.2500, 0.7500, 0.0000]]}


Stability, lowest: model x


Model w:
{"formula": "TbPrAsO", "functional": "PBE", "state": "relaxed", "lattice": [[4.3268, 0.0000, 0.0000], [0.0000, 4.3268, 0.0000], [0.0000, 0.0000, 9.2770]], "species": ["Tb", "Tb", "As", "As", "O", "O", "Pr", "Pr"], "fractional_positions": [[0.5000, 0.0000, 0.0965], [0.0000, 0.5000, 0.9035], [0.5000, 0.0000, 0.7209], [0.0000, 0.5000, 0.2791], [0.0000, 0.0000, 0.0000], [0.5000, 0.5000, 0.0000], [0.5000, 0.5000, 0.5000], [0.0000, 0.0000, 0.5000]]}


Model x:
{"formula": "TbPrAsO", "functional": "PBE", "state": "relaxed", "lattice": [[4.3566, 0.0000, 0.0000], [0.0000, 7.6305, 0.0000], [0.0000, 0.0000, 6.1797]], "species": ["Tb", "Tb", "O", "O", "As", "As", "Pr", "Pr"], "fractional_positions": [[0.5000, 0.3934, 0.0187], [0.5000, 0.6066, 0.5187], [0.5000, 0.3374, 0.3722], [0.5000, 0.6626, 0.8722], [0.0000, 0.1799, 0.9280], [0.0000, 0.8201, 0.4280], [0.0000, 0.7979, 0.9350], [0.0000, 0.2021, 0.4350]]}


Stability, lowest: model w


Model w:
{"formula": "TbPrAsO", "functional": "PBE", "state": "relaxed", "lattice": [[4.1906, 0.0000, 0.0000], [0.0000, 8.1011, 0.0000], [0.0000, 0.0000, 5.7466]], "species": ["Pr", "Pr", "Tb", "Tb", "As", "As", "O", "O"], "fractional_positions": [[0.5000, 0.3787, 0.9780], [0.5000, 0.6213, 0.4780], [0.0000, 0.2074, 0.4389], [0.0000, 0.7926, 0.9389], [0.0000, 0.8569, 0.4358], [0.0000, 0.1431, 0.9358], [0.5000, 0.3226, 0.4013], [0.5000, 0.6774, 0.9013]]}


Model x:
{"formula": "TbPrAsO", "functional": "PBE", "state": "relaxed", "lattice": [[4.4294, 0.0000, 0.0000], [0.0000, 4.4294, 0.0000], [0.0000, 0.0000, 9.1478]], "species": ["Pr", "Pr", "O", "O", "Tb", "Tb", "As", "As"], "fractional_positions": [[0.7500, 0.7500, 0.8899], [0.2500, 0.2500, 0.1101], [0.7500, 0.2500, 0.0000], [0.2500, 0.7500, 0.0000], [0.7500, 0.2500, 0.5000], [0.2500, 0.7500, 0.5000], [0.2500, 0.2500, 0.6975], [0.7500, 0.7500, 0.3025]]}


Model y:
{"formula": "TbPrAsO", "functional": "PBE", "state": "relaxed", "lattice": [[4.3281, 0.0000, 0.0000], [0.0000, 4.3281, 0.0000], [0.0000, 0.0000, 9.2717]], "species": ["As", "As", "O", "O", "Pr", "Pr", "Tb", "Tb"], "fractional_positions": [[0.7500, 0.7500, 0.2790], [0.2500, 0.2500, 0.7210], [0.7500, 0.2500, 0.0000], [0.2500, 0.7500, 0.0000], [0.7500, 0.2500, 0.5000], [0.2500, 0.7500, 0.5000], [0.2500, 0.2500, 0.0961], [0.7500, 0.7500, 0.9039]]}


Stability, lowest: model y


Model w:
{"formula": "PrTeAsO", "functional": "PBE", "state": "relaxed", "lattice": [[-3.0441, 3.7447, -1.0776], [0.2240, -1.1970, -4.7925], [-5.9621, -4.5965, 0.8694]], "species": ["Pr", "Pr", "O", "O", "As", "As", "Te", "Te"], "fractional_positions": [[0.7500, 0.2500, 0.5000], [0.2500, 0.7500, 0.5000], [0.7500, 0.2500, 0.0000], [0.2500, 0.7500, 0.0000], [0.2500, 0.2500, 0.6949], [0.7500, 0.7500, 0.3051], [0.2500, 0.2500, 0.0488], [0.7500, 0.7500, 0.9512]]}


Model x:
{"formula": "PrTeAsO", "functional": "PBE", "state": "relaxed", "lattice": [[4.0485, -4.0483, 0.0000], [4.0485, 4.0483, 0.0000], [0.0000, 0.0000, 5.2829]], "species": ["Te", "Te", "O", "O", "As", "As", "Pr", "Pr"], "fractional_positions": [[0.2500, 0.2500, 0.1418], [0.7500, 0.7500, 0.8582], [0.7500, 0.2500, 0.0000], [0.2500, 0.7500, 0.0000], [0.2500, 0.2500, 0.6619], [0.7500, 0.7500, 0.3381], [0.7500, 0.2500, 0.5000], [0.2500, 0.7500, 0.5000]]}


Model y:
{"formula": "PrTeAsO", "functional": "PBE", "state": "relaxed", "lattice": [[-2.7006, 5.2415, 0.6988], [-6.3850, -3.1334, -1.1729], [-0.5536, -1.0670, 5.8638]], "species": ["As", "As", "Pr", "Pr", "O", "O", "Te", "Te"], "fractional_positions": [[0.0000, 0.6830, 0.9746], [0.0000, 0.3170, 0.4746], [0.5000, 0.1957, 0.4959], [0.5000, 0.8043, 0.9959], [0.5000, 0.9468, 0.3064], [0.5000, 0.0532, 0.8064], [0.0000, 0.3246, 0.9771], [0.0000, 0.6754, 0.4771]]}


Stability, lowest: model w


Model w:
{"formula": "PrTlAsO", "functional": "PBE", "state": "relaxed", "lattice": [[-3.3349, -1.1438, -2.5109], [2.1845, -3.5008, -1.3066], [-3.8062, -5.1348, 7.3943]], "species": ["Pr", "Pr", "As", "As", "Tl", "Tl", "O", "O"], "fractional_positions": [[0.0000, 0.5000, 0.8887], [0.5000, 0.0000, 0.1113], [0.5000, 0.0000, 0.7162], [0.0000, 0.5000, 0.2838], [0.0000, 0.0000, 0.5000], [0.5000, 0.5000, 0.5000], [0.0000, 0.0000, 0.0000], [0.5000, 0.5000, 0.0000]]}


Model x:
{"formula": "PrTlAsO", "functional": "PBE", "state": "relaxed", "lattice": [[-1.4501, 2.1938, -3.2939], [-7.4344, 0.4083, 3.5449], [1.6120, 5.2358, 2.7776]], "species": ["Tl", "Tl", "As", "As", "Pr", "Pr", "O", "O"], "fractional_positions": [[0.5000, 0.1206, 0.4806], [0.5000, 0.8794, 0.9806], [0.0000, 0.6672, 0.9275], [0.0000, 0.3328, 0.4275], [0.0000, 0.3030, 0.9324], [0.0000, 0.6970, 0.4324], [0.5000, 0.8088, 0.4135], [0.5000, 0.1912, 0.9135]]}


Model y:
{"formula": "PrTlAsO", "functional": "PBE", "state": "relaxed", "lattice": [[-4.5318, -0.1677, -4.0667], [4.0701, -0.1975, -4.5275], [-0.0060, -5.1170, 0.2178]], "species": ["O", "O", "Pr", "Pr", "Tl", "Tl", "As", "As"], "fractional_positions": [[0.0000, 0.0000, 0.0000], [0.5000, 0.5000, 0.0000], [0.0000, 0.0000, 0.5000], [0.5000, 0.5000, 0.5000], [0.0000, 0.5000, 0.9915], [0.5000, 0.0000, 0.0085], [0.0000, 0.5000, 0.4908], [0.5000, 0.0000, 0.5092]]}


Model z:
{"formula": "PrTlAsO", "functional": "PBE", "state": "relaxed", "lattice": [[-1.2883, -2.8389, 4.8829], [3.7578, -4.1872, -1.4430], [4.4422, 2.9847, 2.9073]], "species": ["Pr", "Pr", "O", "O", "Tl", "Tl", "As", "As"], "fractional_positions": [[0.5000, 0.2975, 0.0352], [0.5000, 0.7025, 0.5352], [0.5000, 0.6490, 0.8961], [0.5000, 0.3510, 0.3961], [0.0000, 0.2747, 0.4212], [0.0000, 0.7253, 0.9212], [0.0000, 0.2237, 0.9014], [0.0000, 0.7763, 0.4014]]}


Stability, lowest: model y